No. 1
## ReTeRu (PBE)

Data for a relaxed ReTeRu crystal.

The structure in POSCAR format:
```
ReTeRu
1.0
-0.027 -0.901 2.897
0.270 -2.047 -2.223
6.381 0.581 0.241
Re Ru Te
1 1 1
Direct
0.000 0.000 0.010
0.667 0.333 0.322
0.333 0.667 0.667
```

Properties
symmetry: P3m1
energy relative to the lowest polymorph listed for this composition: 47.5 meV/atom
crystal system: trigonal
formation energy without anion corrections: 0.570 eV per atom



No. 2
## Ac6Ir3Se2 (PBE)

Data for a relaxed Ac6Ir3Se2 crystal.

The structure in POSCAR format:
```
Ac6Ir3Se2
1.0
7.227 0.000 2.165
3.614 6.534 1.083
0.239 0.000 8.050
Ac Ir Se
6 3 2
Direct
0.407 0.658 0.783
0.747 0.000 0.785
0.065 0.342 0.783
0.253 0.000 0.215
0.593 0.342 0.217
0.935 0.658 0.217
0.000 0.000 0.000
0.331 0.338 0.000
0.669 0.662 0.000
0.166 0.669 0.500
0.834 0.331 0.500
```

Properties
symmetry: C2/m
crystal system: monoclinic
formation energy without anion corrections: -1.068 eV per atom



No. 3
## Li3H5Pd12 (PBE)

Data for a relaxed Li3H5Pd12 crystal.

The structure in POSCAR format:
```
Li3H5Pd12
1.0
10.805 0.000 0.000
-3.602 10.187 0.000
-3.602 -5.093 8.822
Li H Pd
12 20 48
Direct
0.750 0.375 0.125
0.875 0.750 0.125
0.375 0.750 0.625
0.250 0.125 0.375
0.875 0.125 0.250
0.375 0.625 0.250
0.625 0.375 0.750
0.125 0.875 0.750
0.750 0.875 0.625
0.625 0.250 0.375
0.125 0.250 0.875
0.250 0.625 0.875
0.125 0.375 0.250
0.000 0.500 0.000
0.000 0.000 0.000
0.375 0.250 0.125
0.500 0.000 0.500
0.500 0.500 0.000
0.125 0.750 0.375
0.750 0.125 0.875
0.750 0.625 0.375
0.375 0.125 0.750
0.625 0.875 0.250
0.500 0.500 0.500
0.500 0.000 0.000
0.000 0.000 0.500
0.250 0.375 0.625
0.250 0.875 0.125
0.000 0.500 0.500
0.875 0.250 0.625
0.625 0.750 0.875
0.875 0.625 0.750
0.700 0.108 0.014
0.314 0.514 0.405
0.986 0.392 0.300
0.514 0.200 0.108
0.591 0.700 0.686
0.986 0.595 0.186
0.314 0.800 0.409
0.095 0.909 0.108
0.595 0.986 0.686
0.700 0.591 0.186
0.800 0.486 0.392
0.814 0.905 0.014
0.108 0.700 0.514
0.392 0.405 0.091
0.091 0.905 0.392
0.409 0.108 0.595
0.091 0.186 0.200
0.486 0.686 0.095
0.814 0.909 0.300
0.108 0.409 0.095
0.392 0.986 0.800
0.595 0.608 0.409
0.905 0.814 0.514
0.800 0.314 0.909
0.405 0.392 0.591
0.095 0.186 0.486
0.200 0.686 0.091
0.186 0.091 0.700
0.608 0.014 0.200
0.892 0.591 0.905
0.514 0.314 0.905
0.591 0.892 0.405
0.909 0.814 0.800
0.909 0.095 0.608
0.892 0.300 0.486
0.186 0.095 0.986
0.608 0.595 0.909
0.405 0.014 0.314
0.300 0.409 0.814
0.200 0.514 0.608
0.905 0.091 0.892
0.686 0.200 0.591
0.486 0.800 0.892
0.014 0.405 0.814
0.409 0.300 0.314
0.014 0.608 0.700
0.686 0.486 0.595
0.300 0.892 0.986
```

Properties
symmetry: Ia-3d
DFT total energy: -346.6 eV for the cell shown
crystal system: cubic



No. 4
## KNa2Ni2 (PBE)

Data for a relaxed KNa2Ni2 crystal.

The structure in POSCAR format:
```
KNa2Ni2
1.0
8.624 0.000 0.000
0.000 8.624 0.000
0.000 0.000 3.011
Ni K Na
4 2 4
Direct
0.405 0.905 0.000
0.905 0.595 0.000
0.595 0.095 0.000
0.095 0.405 0.000
0.000 0.000 0.000
0.500 0.500 0.000
0.182 0.682 0.500
0.682 0.818 0.500
0.818 0.318 0.500
0.318 0.182 0.500
```

Properties
symmetry: P4/mbm
E_form: 2.91 eV per formula unit
energy relative to the lowest polymorph listed for this composition: 0.0 meV/atom
crystal system: tetragonal



No. 5
## ZrBeO3 (PBE)

Data for a relaxed ZrBeO3 crystal.

The structure in POSCAR format:
```
ZrBeO3
1.0
4.079 0.000 0.000
0.000 4.079 0.000
0.000 0.000 4.079
Be O Zr
1 3 1
Direct
0.500 0.500 0.500
0.000 0.500 0.000
0.000 0.000 0.500
0.500 0.000 0.000
0.000 0.000 0.000
```

Properties
symmetry: Pm-3m
crystal system: cubic
formation energy without anion corrections: -1.477 eV per atom



No. 6
## CaReF3 (PBE)

Data for a relaxed CaReF3 crystal.

The structure in POSCAR format:
```
CaReF3
1.0
-0.700 -4.405 0.558
3.031 -0.061 3.319
-3.245 0.893 2.980
Re Ca F
1 1 3
Direct
0.500 0.500 0.500
0.000 0.000 0.000
0.000 0.500 0.000
0.000 0.000 0.500
0.500 0.000 0.000
```

Properties
symmetry: Pm-3m
energy relative to the lowest polymorph listed for this composition: 0.0 meV/atom
crystal system: cubic
formation energy without anion corrections: -1.510 eV per atom



How do the records compare in DOS(E_F)? In the order shown, they have 2.1 5.9 53.7 9.3 0.4 0.2 states/eV/cell.
How do the records compare in spin magnetization? In the order shown, they have 0.00 0.00 0.00 0.16 0.00 1.20 μB per atom.